DFT (PBE with a Hubbard U) results for a geometry-optimized PaTaCo2O8 structure.

For the raw total energy, the calculation gives -8.0485 eV/atom. Its crystal system is tetragonal.

It has space group I-4m2 (No. 119), with a = 6.6984 Å, b = 6.6984 Å, c = 6.6538 Å, α = 90.00°, β = 90.00° and γ = 90.00°. Symmetry generates all atoms from Pa at (0.0000, 0.0000, 0.0000), Ta at (0.0000, 0.5000, 0.2500), Co at (0.0000, 0.0000, 0.5000), Co at (0.0000, 0.5000, 0.7500), O at (0.0000, 0.1997, 0.3059) and O at (0.0000, 0.3219, 0.9638).